[1]
Compound: BBr4
Source: Alexandria
Functional: PBE
Structure: relaxed

Cell lengths 4.7964, 4.7964, 4.7964 Å; angles 90.00, 90.00, 90.00 degrees
Space group Pm-3m (No. 221)
Asymmetric unit:
B 0.0000 0.0000 0.0000
Br 0.0000 0.0000 0.5000
Br 0.5000 0.5000 0.5000

## Properties
Spin magnetization: 0.0 Bohr magnetons per cell
Uncorrected formation energy: 66.4 kJ/mol of atoms

=====

[2]
Compound: BBr3
Source: Alexandria
Functional: PBE
Structure: relaxed

Cell lengths 5.0352, 5.0352, 22.3281 Å; angles 90.00, 90.00, 120.00 degrees
Space group R-3m (No. 166, hexagonal axes)
Asymmetric unit:
B 0.0000 0.0000 0.0000
Br 0.0000 0.0000 0.0794
Br 0.0000 0.0000 0.5000

## Properties
Spin magnetization: 0.0 Bohr magnetons per cell
Excess energy over the best structure of this formula in the dataset: 640 meV/atom
Uncorrected formation energy: 13.9 kJ/mol of atoms

=====

[3]
Compound: B4Br
Source: Alexandria
Functional: PBE
Structure: relaxed

Cell lengths 4.0722, 4.0722, 4.0722 Å; angles 90.00, 90.00, 90.00 degrees
Space group Pm-3m (No. 221)
Asymmetric unit:
B 0.0000 0.0000 0.0000
B 0.0000 0.5000 0.5000
Br 0.5000 0.5000 0.5000

## Properties
Spin magnetization: 0.0 Bohr magnetons per cell
Uncorrected formation energy: 320.7 kJ/mol of atoms

=====

[4]
Compound: BBr3
Source: Alexandria
Functional: PBE
Structure: relaxed

Cell lengths 7.9456, 13.0181, 7.5637 Å; angles 90.00, 90.00, 90.00 degrees
Space group Cmcm (No. 63)
Asymmetric unit:
B 0.0000 0.1882 0.2500
Br 0.0000 0.3349 0.2500
Br 0.2080 0.1151 0.2500

## Properties
Spin magnetization: 0.0 Bohr magnetons per cell
Excess energy over the best structure of this formula in the dataset: 9 meV/atom
Uncorrected formation energy: -47.0 kJ/mol of atoms

=====

[5]
Compound: BBr3
Source: Alexandria
Functional: PBE
Structure: relaxed

Cell lengths 6.7515, 6.7515, 8.5316 Å; angles 90.00, 90.00, 90.00 degrees
Space group I-42d (No. 122)
Asymmetric unit:
B 0.0000 0.0000 0.0000
Br 0.0000 0.0000 0.5000
Br 0.1166 0.2500 0.1250

## Properties
Spin magnetization: 0.0 Bohr magnetons per cell
Excess energy over the best structure of this formula in the dataset: 939 meV/atom
Uncorrected formation energy: 42.7 kJ/mol of atoms

=====

[6]
Compound: BBr3
Source: Alexandria
Functional: PBE
Structure: relaxed

Cell lengths 6.9015, 6.9015, 8.0370 Å; angles 90.00, 90.00, 120.00 degrees
Space group P6_3/m (No. 176)
Asymmetric unit:
B 0.3333 0.6667 0.2500
Br 0.0669 0.3808 0.2500

## Properties
Spin magnetization: 0.0 Bohr magnetons per cell
Excess energy over the best structure of this formula in the dataset: 0 meV/atom
Uncorrected formation energy: -47.9 kJ/mol of atoms

=====

[7]
Compound: BC3Br
Source: Alexandria
Functional: PBE
Structure: relaxed

Cell lengths 3.9894, 3.9894, 3.9894 Å; angles 90.00, 90.00, 90.00 degrees
Space group Pm-3m (No. 221)
Asymmetric unit:
B 0.0000 0.0000 0.0000
C 0.0000 0.5000 0.5000
Br 0.5000 0.5000 0.5000

## Properties
Spin magnetization: 0.0 Bohr magnetons per cell
Excess energy over the best structure of this formula in the dataset: 1530 meV/atom
Uncorrected formation energy: 422.7 kJ/mol of atoms

=====

[8]
Compound: BC2Br
Source: Alexandria
Functional: PBE
Structure: relaxed

Cell lengths 5.5021, 5.5021, 5.5021 Å; angles 90.00, 90.00, 90.00 degrees
Space group Fm-3m (No. 225)
Asymmetric unit:
B 0.0000 0.0000 0.0000
C 0.2500 0.2500 0.2500
Br 0.0000 0.0000 0.5000

## Properties
Spin magnetization: 0.0 Bohr magnetons per cell
Excess energy over the best structure of this formula in the dataset: 2107 meV/atom
Uncorrected formation energy: 347.2 kJ/mol of atoms

=====

[9]
Compound: B2CBr
Source: Alexandria
Functional: PBE
Structure: relaxed

Cell lengths 4.6360, 4.6360, 8.0465 Å; angles 90.00, 90.00, 90.00 degrees
Space group I-42d (No. 122)
Asymmetric unit:
B 0.1021 0.2500 0.1250
C 0.0000 0.0000 0.0000
Br 0.0000 0.0000 0.5000

## Properties
Spin magnetization: 0.0 Bohr magnetons per cell
Excess energy over the best structure of this formula in the dataset: 0 meV/atom
Uncorrected formation energy: 62.1 kJ/mol of atoms

=====

[10]
Compound: BCBr2
Source: Alexandria
Functional: PBE
Structure: relaxed

Cell lengths 4.7623, 4.7623, 13.8948 Å; angles 90.00, 90.00, 90.00 degrees
Space group I-42d (No. 122)
Asymmetric unit:
B 0.0000 0.0000 0.0000
C 0.0000 0.0000 0.5000
Br 0.2442 0.2500 0.6250

## Properties
Spin magnetization: 0.0 Bohr magnetons per cell
Excess energy over the best structure of this formula in the dataset: 180 meV/atom
Uncorrected formation energy: 215.2 kJ/mol of atoms

=====

[11]
Compound: BCBr2
Source: Alexandria
Functional: PBE
Structure: relaxed

Cell lengths 3.4163, 3.4163, 22.4083 Å; angles 90.00, 90.00, 120.00 degrees
Space group R-3m (No. 166, hexagonal axes)
Asymmetric unit:
B 0.0000 0.0000 0.0000
C 0.0000 0.0000 0.5000
Br 0.0000 0.0000 0.4018

## Properties
Spin magnetization: 0.0 Bohr magnetons per cell
Excess energy over the best structure of this formula in the dataset: 164 meV/atom
Uncorrected formation energy: 213.7 kJ/mol of atoms

=====

[12]
Compound: BCBr2
Source: Alexandria
Functional: PBE
Structure: relaxed

Cell lengths 6.4675, 6.4675, 6.4675 Å; angles 90.00, 90.00, 90.00 degrees
Space group Fm-3m (No. 225)
Asymmetric unit:
B 0.0000 0.0000 0.0000
C 0.0000 0.0000 0.5000
Br 0.2500 0.2500 0.2500

## Properties
Spin magnetization: 0.1 Bohr magnetons per cell
Excess energy over the best structure of this formula in the dataset: 501 meV/atom
Uncorrected formation energy: 246.1 kJ/mol of atoms